Record 1
Pu4ThTe5: relaxed, GGA-PBE.

DFT total energy = -9.12 eV per atom
D(E_F) = 4.499 states/eV/atom
Formation energy without anion corrections = -1076.1 meV/atom

Lattice parameters (Å, degrees): 11.7940 11.7940 11.7940 158.40 149.11 38.01
Positions (direct):
Pu1 0.0990 0.0990 0.0000
Pu2 0.2994 0.2994 0.0000
Pu3 0.7006 0.7006 0.0000
Pu4 0.9010 0.9010 0.0000
Th1 0.5000 0.5000 0.0000
Te1 0.0000 0.5000 0.5000
Te2 0.1993 0.6993 0.5000
Te3 0.3974 0.8974 0.5000
Te4 0.6026 0.1026 0.5000
Te5 0.8007 0.3007 0.5000

Record 2
PuTh3Te6: relaxed, GGA-PBE.

DFT total energy = -6.65 eV per atom
D(E_F) = 1.218 states/eV/atom
Formation energy without anion corrections = -1110.5 meV/atom

Lattice parameters (Å, degrees): 11.6238 4.2662 13.7080 90.00 105.09 90.00
Positions (direct):
Pu1 0.0422 0.2500 0.2048
Pu2 0.9578 0.7500 0.7952
Th1 0.1291 0.2500 0.5733
Th2 0.3154 0.7500 0.9776
Th3 0.3702 0.2500 0.3562
Th4 0.6298 0.7500 0.6438
Th5 0.6846 0.2500 0.0224
Th6 0.8709 0.7500 0.4267
Te1 0.1096 0.2500 0.9530
Te2 0.1413 0.7500 0.3991
Te3 0.2038 0.7500 0.7418
Te4 0.2406 0.7500 0.1873
Te5 0.4185 0.2500 0.5959
Te6 0.4727 0.2500 0.1269
Te7 0.5273 0.7500 0.8731
Te8 0.5815 0.7500 0.4041
Te9 0.7594 0.2500 0.8127
Te10 0.7962 0.2500 0.2582
Te11 0.8587 0.2500 0.6009
Te12 0.8904 0.7500 0.0470

Record 3
Pu6ThTe8: relaxed, GGA-PBE.

DFT total energy = -9.00 eV per atom
D(E_F) = 4.686 states/eV/atom
Formation energy without anion corrections = -1098.1 meV/atom

Lattice parameters (Å, degrees): 8.8668 8.8668 8.8668 60.00 60.00 60.00
Positions (direct):
Pu1 0.0000 0.0000 0.5000
Pu2 0.0000 0.5000 0.0000
Pu3 0.0000 0.5000 0.5000
Pu4 0.5000 0.0000 0.0000
Pu5 0.5000 0.0000 0.5000
Pu6 0.5000 0.5000 0.0000
Th1 0.0000 0.0000 0.0000
Te1 0.2500 0.2500 0.2500
Te2 0.2551 0.2551 0.7449
Te3 0.2551 0.7449 0.2551
Te4 0.2551 0.7449 0.7449
Te5 0.7449 0.2551 0.2551
Te6 0.7449 0.2551 0.7449
Te7 0.7449 0.7449 0.2551
Te8 0.7500 0.7500 0.7500

Calculated magnetic moment in order - 23.605 5.351 35.231 μB per formula unit